1.
Below is a relaxed structure of Al3GeS6, with properties calculated at the PBE-GGA level.

abc: 6.122 8.373 8.373
angles: 110.81 90.00 90.00
Fractional coordinates of all 20 atoms:
Al  0.996  0.105  0.282
S  0.142  0.820  0.180
S  0.264  0.053  0.947
S  0.705  0.526  0.137
Ge  0.534  0.796  0.204
Al  0.996  0.718  0.895
Al  0.328  0.423  0.577
Al  0.496  0.282  0.105
S  0.205  0.137  0.526
Al  0.496  0.895  0.718
S  0.157  0.710  0.629
S  0.205  0.474  0.863
S  0.764  0.947  0.053
S  0.657  0.629  0.710
S  0.642  0.180  0.820
Al  0.828  0.577  0.423
S  0.705  0.863  0.474
S  0.157  0.371  0.290
S  0.657  0.290  0.371
Ge  0.034  0.204  0.796

Output
Space-group type: Cmc2_1
Electronic total energy, eV per cell: -92.4
Raw formation energy, meV per atom: -559

2.
Below is a relaxed structure of Zr2Pt2S, with properties calculated at the PBE-GGA level.

abc: 7.195 7.195 3.762
angles: 90.00 90.00 90.00
Fractional coordinates of all 10 atoms:
Pt  0.869  0.369  0.500
S  0.500  0.500  0.000
Zr  0.172  0.328  0.000
S  0.000  0.000  0.000
Pt  0.369  0.131  0.500
Zr  0.672  0.172  0.000
Pt  0.631  0.869  0.500
Zr  0.828  0.672  0.000
Pt  0.131  0.631  0.500
Zr  0.328  0.828  0.000

Output
Energy relative to the lowest polymorph listed for this composition, eV/atom: 0.000
Space-group type: P4/mbm
Electronic total energy, eV per cell: -76.2
Raw formation energy, meV per atom: -958

3.
Below is a relaxed structure of Zr2ScS, with properties calculated at the PBE-GGA level.

abc: 3.483 3.483 8.479
angles: 78.15 78.15 60.00
Fractional coordinates of all 4 atoms:
Zr  0.269  0.269  0.194
Sc  0.499  0.499  0.502
Zr  0.065  0.065  0.806
S  0.667  0.667  0.998

Output
Space-group type: R3m
Electronic total energy, eV per cell: -30.4
Raw formation energy, meV per atom: -721

4.
Below is a relaxed structure of RbSn2Sb2Au6, with properties calculated at the PBE-GGA level.

abc: 6.904 7.392 6.232
angles: 88.80 87.17 60.84
Fractional coordinates of all 11 atoms:
Rb  0.500  0.000  0.500
Au  0.384  0.826  0.016
Au  0.833  0.720  0.937
Sn  0.276  0.551  0.287
Sn  0.724  0.449  0.713
Au  0.167  0.280  0.063
Au  0.717  0.494  0.257
Au  0.283  0.506  0.743
Sb  0.972  0.054  0.260
Au  0.616  0.174  0.984
Sb  0.028  0.946  0.740

Output
Space-group type: P-1
Electronic total energy, eV per cell: -38.2
Raw formation energy, meV per atom: -122

| no. | calculated density (g/cm³) |
| --- | --- |
| 1 | 2.86 |
| 2 | 10.31 |
| 3 | 4.98 |
| 4 | 10.47 |